[1]
# PBE-GGA Ba2LiMgRh, optimized geometry
data_Ba2LiMgRh
_cell_length_a 5.977
_cell_length_b 5.977
_cell_length_c 5.056
_cell_angle_alpha 90.00
_cell_angle_beta 90.00
_cell_angle_gamma 90.00
_space_group_name_H-M_alt 'P 4/m m m'
_space_group_IT_number 123
_space_group_name_Hall '-P 4 2'
loop_
_atom_site_label
_atom_site_fract_x
_atom_site_fract_y
_atom_site_fract_z
Ba1 0.000 0.500 0.000
Li1 0.000 0.000 0.500
Mg1 0.500 0.500 0.500
Rh1 0.000 0.000 0.000
# - formation energy from the elements (eV per atom) = 0.01
# - calculated volume (Å³ per cell) = 180.6

---

[2]
# PBE-GGA Ba2LiMgS, optimized geometry
data_Ba2LiMgS
_cell_length_a 6.232
_cell_length_b 6.232
_cell_length_c 5.057
_cell_angle_alpha 90.00
_cell_angle_beta 90.00
_cell_angle_gamma 90.00
_space_group_name_H-M_alt 'P 4/m m m'
_space_group_IT_number 123
_space_group_name_Hall '-P 4 2'
loop_
_atom_site_label
_atom_site_fract_x
_atom_site_fract_y
_atom_site_fract_z
Ba1 0.000 0.500 0.000
Li1 0.000 0.000 0.500
Mg1 0.500 0.500 0.500
S1 0.500 0.500 0.000
# - raw formation energy (eV per formula unit) = -2.762
# - calculated volume (Å³ per cell) = 196.4

---

[3]
# PBE-GGA Ba2LiMgS, optimized geometry
data_Ba2LiMgS
_cell_length_a 6.311
_cell_length_b 6.311
_cell_length_c 4.665
_cell_angle_alpha 90.00
_cell_angle_beta 90.00
_cell_angle_gamma 90.00
_space_group_name_H-M_alt 'P 4/m m m'
_space_group_IT_number 123
_space_group_name_Hall '-P 4 2'
loop_
_atom_site_label
_atom_site_fract_x
_atom_site_fract_y
_atom_site_fract_z
Ba1 0.000 0.500 0.000
Li1 0.000 0.000 0.500
Mg1 0.500 0.500 0.500
S1 0.000 0.000 0.000
# - raw formation energy (eV per formula unit) = -3.643
# - calculated volume (Å³ per cell) = 185.8

---

[4]
# PBE-GGA BaLiMgSb, optimized geometry
data_BaLiMgSb
_cell_length_a 4.754
_cell_length_b 4.754
_cell_length_c 11.583
_cell_angle_alpha 90.00
_cell_angle_beta 90.00
_cell_angle_gamma 90.00
_space_group_name_H-M_alt 'P 4/n m m'
_space_group_IT_number 129
loop_
_space_group_symop_operation_xyz
'x,y,z'
'-x,-y,-z'
'-y+1/2,x,z'
'y+1/2,-x,-z'
'-x+1/2,-y+1/2,z'
'x+1/2,y+1/2,-z'
'y,-x+1/2,z'
'-y,x+1/2,-z'
'x+1/2,-y,-z'
'-x+1/2,y,z'
'-y,-x,-z'
'y,x,z'
'-x,y+1/2,-z'
'x,-y+1/2,z'
'y+1/2,x+1/2,-z'
'-y+1/2,-x+1/2,z'
loop_
_atom_site_label
_atom_site_fract_x
_atom_site_fract_y
_atom_site_fract_z
Ba1 0.250 0.250 0.223
Li1 0.250 0.750 0.000
Mg1 0.250 0.750 0.500
Sb1 0.250 0.250 0.860
# - raw formation energy (eV per formula unit) = -1.954
# - calculated volume (Å³ per cell) = 261.8